K2HgPdBr6 after structural relaxation. Source: the Open Quantum Materials Database, functional GGA-PBE.

Cell: 7.6883 7.6883 7.6883 Å, 60.00 60.00 60.00°
With the nearest neighbours (Å) after each atom.
Fractional coordinates of all 10 atoms:
K (0.2500, 0.2500, 0.2500)  12 Br 3.85
K (0.7500, 0.7500, 0.7500)  12 Br 3.85
Hg (0.0000, 0.0000, 0.0000)  6 Br 2.84
Pd (0.5000, 0.5000, 0.5000)  6 Br 2.59
Br (0.2614, 0.2614, 0.7386)  1 Pd 2.59, 1 Hg 2.84
Br (0.2614, 0.7386, 0.2614)  1 Pd 2.59, 1 Hg 2.84
Br (0.2614, 0.7386, 0.7386)  1 Pd 2.59, 1 Hg 2.84
Br (0.7386, 0.2614, 0.2614)  1 Pd 2.59, 1 Hg 2.84
Br (0.7386, 0.2614, 0.7386)  1 Pd 2.59, 1 Hg 2.84
Br (0.7386, 0.7386, 0.2614)  1 Pd 2.59, 1 Hg 2.84

## Properties
E: -2.65 eV/atom
ρ: 4468 kg/m³